The following is a PBE calculation of crystalline CsMgTl2Pb at its relaxed geometry, from Alexandria.

Lattice parameters (Å, degrees): 4.955 4.955 14.756 90.00 90.00 90.00
Space group I-4m2 (No. 119)
Symmetry-distinct sites (fractional):
Cs1 0.000 0.000 0.000 (multiplicity 2)
Mg1 0.000 0.500 0.750 (multiplicity 2)
Tl1 0.000 0.000 0.385 (multiplicity 4)
Pb1 0.000 0.500 0.250 (multiplicity 2)

## Properties
* volume: 362.3 Å³ per cell
* calculated formation energy: -0.04 eV/atom


The following is a PBE calculation of crystalline Li2SbPb at its relaxed geometry, from Alexandria.

Lattice parameters (Å, degrees): 9.258 3.291 6.171 90.00 101.32 90.00
Space group C2/m (No. 12)
Symmetry-distinct sites (fractional):
Li1 0.246 0.000 0.219 (multiplicity 4)
Sb1 0.000 0.500 0.000 (multiplicity 2)
Pb1 0.000 0.000 0.500 (multiplicity 2)

## Properties
* raw formation energy: -0.30 eV per atom
* volume: 184.4 Å³ per cell


The following is a PBE calculation of crystalline Pr2NdPd at its relaxed geometry, from Alexandria.

Lattice parameters (Å, degrees): 3.938 12.334 10.067 90.00 90.00 90.00
Space group Cmcm (No. 63)
Symmetry-distinct sites (fractional):
Pr1 0.000 0.136 0.060 (multiplicity 8)
Nd1 0.000 0.425 0.250 (multiplicity 4)
Pd1 0.000 0.270 0.750 (multiplicity 4)

## Properties
* volume: 488.9 Å³ per cell
* calculated formation energy: -0.38 eV/atom


Number 1: E above lowest polymorph 0 meV/atom. Number 2: E above lowest polymorph 69 meV/atom. Number 3: E above lowest polymorph 14 meV/atom.